(1)
DFT (PBE-GGA) results for a relaxed structure of Co2NiHRh.

Computed properties:
- Energy: -6.10 eV per atom

Lattice parameters (Å, degrees): 3.6666 3.6666 3.7448 90.00 90.00 90.00
Sites, in units of the cell vectors:
H 0.0000 0.0000 0.0000
Co 0.5000 0.0000 0.0000
Co 0.0000 0.5000 0.0000
Ni 0.5000 0.5000 0.5000
Rh 0.0000 0.0000 0.5000


(2)
DFT (PBE-GGA) results for a relaxed structure of ReNiP2.

Computed properties:
- Energy of formation: 83.6 meV per atom

Lattice parameters (Å, degrees): 4.3114 4.3114 4.3114 129.33 121.63 80.90
Sites, in units of the cell vectors:
Re 0.7500 0.2500 0.5000
Ni 0.2500 0.7500 0.5000
P 0.0265 0.0265 0.0000
P 0.4735 0.4735 0.0000


(3)
DFT (PBE-GGA) results for a relaxed structure of Ti3AsIr.

Computed properties:
- Energy of formation: 164.5 meV per atom

Lattice parameters (Å, degrees): 4.7382 4.7382 4.7382 90.00 90.00 90.00
Sites, in units of the cell vectors:
Ti 0.0000 0.0000 0.5000
Ti 0.5000 0.0000 0.0000
Ti 0.0000 0.5000 0.0000
As 0.5000 0.5000 0.5000
Ir 0.0000 0.0000 0.0000


(4)
DFT (PBE-GGA) results for a relaxed structure of Na2Zn3Ga4Ag.

Computed properties:
- Energy of formation: -41.0 meV per atom

Lattice parameters (Å, degrees): 4.4126 4.4126 10.5796 90.00 90.00 90.00
Sites, in units of the cell vectors:
Zn 0.0000 0.5000 0.1328
Zn 0.0000 0.0000 0.5000
Zn 0.5000 0.0000 0.8672
Ga 0.5000 0.0000 0.6320
Ga 0.5000 0.5000 0.0000
Ga 0.0000 0.0000 0.0000
Ga 0.0000 0.5000 0.3680
Na 0.5000 0.0000 0.2530
Na 0.0000 0.5000 0.7470
Ag 0.5000 0.5000 0.5000


(5)
DFT (PBE-GGA) results for a relaxed structure of Zr2ScIn.

Computed properties:
- Energy of formation: -194.1 meV per atom

Lattice parameters (Å, degrees): 3.2731 4.2872 6.5239 90.00 90.00 90.00
Sites, in units of the cell vectors:
Sc 0.5000 0.5000 0.7494
In 0.0000 0.0000 0.5021
Zr 0.0000 0.0000 0.0048
Zr 0.5000 0.5000 0.2437


(6)
DFT (PBE-GGA) results for a relaxed structure of AgPRh2.

Computed properties:
- Energy of formation: 283.6 meV per atom

Lattice parameters (Å, degrees): 4.3851 4.3851 4.3851 60.00 60.00 60.00
Sites, in units of the cell vectors:
Rh 0.0000 0.0000 0.0000
Rh 0.7500 0.7500 0.7500
Ag 0.5000 0.5000 0.5000
P 0.2500 0.2500 0.2500


Computed values of ρ (unit: Mg/m³) for the preceding records, in sequence: 9.3 10.0 6.4 5.1 6.2 9.6.
Computed values of total magnetic moment (unit: μB/atom) for the preceding records, in sequence: 0.9785 0.0000 0.0000 0.0000 0.0000 0.0011.